Density functional theory data (PBE) for a geometry-optimized LiCdIO4 structure.

abc: 6.7992 6.4081 6.4081
angles: 67.13 57.96 57.96
Positions (direct):
1 O 0.7659 0.1985 0.2697
2 O 0.7657 0.6973 0.1973
3 O 0.6602 0.3027 0.8027
4 O 0.2343 0.3027 0.8027
5 O 0.2341 0.8015 0.7303
6 O 0.7659 0.7697 0.6985
7 O 0.3398 0.6973 0.1973
8 O 0.2341 0.2303 0.3015
9 I 0.6954 0.5546 0.0546
10 I 0.3046 0.4454 0.9454
11 Cd 0.0000 0.0000 0.5000
12 Cd 0.5000 0.0000 0.5000
13 Li 0.0000 0.5000 0.5000
14 Li 0.0000 0.0000 0.0000

Properties
Energy relative to the elements, uncorrected = -841 meV per atom
M_tot = 0.000 μB per cell